A plane-wave DFT calculation with PBE-GGA was carried out for crystalline YMg3Zn at its relaxed geometry.

For the energy above the most stable polymorph in this dataset, the calculation gives 250 meV per atom. The calculation puts the formation energy from the elements at 0.113 eV/atom. For the final energy, the calculation gives -2.39 eV per atom.

The space group is Pm-3m (No. 221) and the conventional cell measures 4.983, 4.983 and 4.983 Å, with angles of 90.00, 90.00 and 90.00 degrees. The asymmetric unit holds Y at (0.000, 0.000, 0.000), Mg at (0.000, 0.500, 0.500) and Zn at (0.500, 0.500, 0.500).